A plane-wave DFT calculation with PBE-GGA was carried out for a relaxed structure of NaH6SN2.

Cell: 10.3073 8.8385 4.8867 Å, 90.00 105.69 90.00°
Space group C2/c (No. 15)
Unique sites:
Na (0.0000, 0.2361, 0.2500)
H (0.1387, 0.0495, 0.7871)
H (0.1676, 0.2272, 0.7336)
H (0.2344, 0.4111, 0.3349)
S (0.0000, 0.4636, 0.7500)
N (0.1669, 0.1206, 0.6471)

## Properties
The mass density comes out at 1.381 g/cm3. The raw total energy comes out at -4.63 eV per atom.

***

A plane-wave DFT calculation with PBE-GGA was carried out for a relaxed structure of MnBi2PSe.

Cell: 5.5378 5.5378 4.3885 Å, 90.00 90.00 90.00°
Space group P4/mmm (No. 123)
Unique sites:
Mn (0.0000, 0.0000, 0.0000)
Bi (0.0000, 0.5000, 0.5000)
P (0.0000, 0.0000, 0.5000)
Se (0.5000, 0.5000, 0.0000)

## Properties
The density of states at the Fermi level comes out at 3.23 states/eV/f.u. The mass density comes out at 7.191 g/cm3. Its uncorrected formation energy is 36.98 kJ per mole of atoms.

***

A plane-wave DFT calculation with PBE-GGA was carried out for a relaxed structure of LaSiP4.

Cell: 7.6120 7.6120 7.6120 Å, 90.00 90.00 90.00°
Space group F-43m (No. 216)
Unique sites:
La (0.0000, 0.0000, 0.0000)
Si (0.2500, 0.2500, 0.2500)
P (0.1101, 0.1101, 0.6101)

## Properties
The density of states at the Fermi level comes out at 5.58 states/eV/f.u. The mass density comes out at 4.381 g/cm3. Its uncorrected formation energy is 1.08 kJ per mole of atoms.

***

A plane-wave DFT calculation with PBE-GGA was carried out for a relaxed structure of LiPd2Au.

Cell: 6.2949 6.2949 6.2949 Å, 90.00 90.00 90.00°
Space group F-43m (No. 216)
Unique sites:
Li (0.0000, 0.0000, 0.0000)
Pd (0.0000, 0.0000, 0.5000)
Pd (0.2500, 0.2500, 0.7500)
Au (0.2500, 0.2500, 0.2500)

## Properties
The value obtained for the energy above the most stable polymorph in this dataset is 0.0750 eV per atom. The density of states at the Fermi level comes out at 0.97 states/eV/f.u. The mass density comes out at 11.097 g/cm3.